This record from the Alexandria database describes an optimized crystal structure of HfMg2. The functional is PBE.

As for the total energy: -12.9 eV/cell. Its space group is No. 139. The calculated formation energy is 79 meV/atom.

Cell: 3.161 3.161 6.935 Å, 103.17 103.17 90.00°
Fractional coordinates of all 3 atoms:
1 Mg 0.666 0.666 0.331
2 Mg 0.334 0.334 0.669
3 Hf 0.000 0.000 0.000

***

This record from the Alexandria database describes an optimized crystal structure of Ac3La5Ho3. The functional is PBE.

As for the total energy: -43.6 eV/cell. Its space group is No. 189. The calculated formation energy is 649 meV/atom.

Cell: 6.165 9.577 9.577 Å, 120.00 90.00 90.00°
Fractional coordinates of all 11 atoms:
1 La 0.500 0.333 0.667
2 La 0.500 0.667 0.333
3 La 0.500 0.000 0.390
4 La 0.500 0.390 0.000
5 La 0.500 0.610 0.610
6 Ho 0.500 0.000 0.784
7 Ho 0.500 0.216 0.216
8 Ho 0.500 0.784 0.000
9 Ac 0.000 0.652 0.000
10 Ac 0.000 0.348 0.348
11 Ac 0.000 0.000 0.652

***

This record from the Alexandria database describes an optimized crystal structure of YV6Ge6. The functional is PBE.

As for the total energy: -94.5 eV/cell. Its space group is No. 71. The calculated formation energy is -435 meV/atom.

Cell: 5.250 6.745 6.745 Å, 77.75 67.10 67.10°
Fractional coordinates of all 13 atoms:
1 Ge 0.334 0.666 0.666
2 Ge 0.000 0.657 0.343
3 Ge 0.000 0.343 0.657
4 Ge 0.666 0.334 0.334
5 Ge 0.334 0.166 0.166
6 Ge 0.666 0.834 0.834
7 V 0.500 0.000 0.500
8 V 0.500 0.746 0.254
9 V 0.000 0.500 0.000
10 V 0.500 0.254 0.746
11 V 0.000 0.000 0.500
12 V 0.500 0.500 0.000
13 Y 0.000 0.000 0.000

***

This record from the Alexandria database describes an optimized crystal structure of SrLi2Hg. The functional is PBE.

As for the total energy: -6.2 eV/cell. Its space group is No. 12. The calculated formation energy is -87 meV/atom.

Cell: 5.285 6.350 3.961 Å, 73.35 86.50 113.40°
Fractional coordinates of all 4 atoms:
1 Li 0.500 0.000 0.500
2 Li 0.000 0.000 0.000
3 Sr 0.000 0.500 0.500
4 Hg 0.500 0.500 0.000

***

Q: The lowest calculated formation energy belongs to which entry?
A: YV6Ge6

***

Q: The lowest calculated formation energy belongs to which entry?
A: YV6Ge6

***

Q: Which of these has the highest calculated formation energy?
A: Ac3La5Ho3

***

Q: Among the records above, which one has the lowest calculated formation energy?
A: YV6Ge6